# TeAsP

A geometry-optimized TeAsP structure (PBE-GGA, Alexandria).

Cell: 3.9093 3.9093 30.7468 Å, 90.00 90.00 120.00°
With the nearest neighbours (Å) after each atom.
Space group R-3m (No. 166, hexagonal axes)
Inequivalent atoms, fractional coordinates:
Te 0.0000 0.0000 0.2123 [6 per cell]  3 As 2.82
As 0.0000 0.0000 0.0662 [6 per cell]  3 P 2.70, 3 Te 2.82
P 0.0000 0.0000 0.3512 [6 per cell]  3 P 2.51, 3 As 2.70

Output
V = 406.94 Å³/cell
Crystal system = trigonal
Energy relative to the elements, uncorrected = 0.21 eV/atom
N(E_F) = 10.40 states/eV per cell